(1)
The following is a PBE calculation of TlCuBr2 after structural relaxation, from Alexandria.

Values from the calculation:
Symmetry: P4/mmm, No. 123
ΔE to the lowest computed polymorph (meV per atom): 347

Cell: 3.606 3.605 7.797 Å, 90.00 90.00 90.00°
Atoms (fractional coordinates):
Tl 0.500 0.500 0.750
Cu 0.500 0.500 0.250
Br 0.000 0.000 0.038
Br 0.000 0.000 0.462

(2)
The following is a PBE calculation of Nd3Zn6AgHg2 after structural relaxation, from Alexandria.

Values from the calculation:
Symmetry: P-3m1, No. 164
DFT formation energy (eV per atom): -0.213
DOS(E_F) (states/eV/cell): 5.969

Cell: 5.484 5.484 10.051 Å, 90.00 90.00 120.00°
Atoms (fractional coordinates):
Zn 0.169 0.831 0.271
Zn 0.831 0.661 0.729
Zn 0.169 0.339 0.271
Zn 0.661 0.831 0.271
Zn 0.831 0.169 0.729
Zn 0.339 0.169 0.729
Nd 0.333 0.667 0.577
Nd 0.667 0.333 0.423
Nd 0.000 0.000 0.000
Hg 0.667 0.333 0.099
Hg 0.333 0.667 0.901
Ag 0.000 0.000 0.500

(3)
The following is a PBE calculation of Nd2YIr after structural relaxation, from Alexandria.

Values from the calculation:
Symmetry: R-3m, No. 166
DFT formation energy (eV per atom): -0.041
DOS(E_F) (states/eV/cell): 5.545
ΔE to the lowest computed polymorph (meV per atom): 437

Cell: 3.824 3.824 10.945 Å, 79.94 79.94 60.00°
Atoms (fractional coordinates):
Y 0.000 0.000 0.000
Nd 0.112 0.112 0.664
Nd 0.888 0.888 0.336
Ir 0.500 0.500 0.500

(4)
The following is a PBE calculation of Hg2PBr after structural relaxation, from Alexandria.

Values from the calculation:
Symmetry: Imm2, No. 44
DOS(E_F) (states/eV/cell): 1.626
ΔE to the lowest computed polymorph (meV per atom): 533

Cell: 5.842 5.842 5.842 Å, 143.65 112.15 79.48°
Atoms (fractional coordinates):
Hg 0.718 0.218 0.500
Hg 0.982 0.982 0.000
P 0.504 0.504 0.000
Br 0.296 0.796 0.500

no.,calculated total energy (eV/atom)
1,-2.647
2,-2.330
3,-6.257
4,-1.583